[1]
A relaxed LaTc2MoP crystal. Source: Alexandria via LeMat-Bulk, functional PBE.

a = 4.793 Å, b = 4.793 Å, c = 4.677 Å
α = 90.00°, β = 90.00°, γ = 90.00°
Element x y z (fractional)
La: 0.000 0.000 0.000
Tc: 0.000 0.500 0.500
Tc: 0.500 0.000 0.500
Mo: 0.500 0.500 0.500
P: 0.500 0.500 0.000

For the formation energy, the calculation gives 2.959 eV per formula unit. Its volume is 107.5 Å³ per cell. Its size of the total moment is 0.5 μB per cell. For the total energy, the calculation gives -7.79 eV per atom.

[2]
A relaxed LaTeMoP2 crystal. Source: Alexandria via LeMat-Bulk, functional PBE.

a = 5.034 Å, b = 5.034 Å, c = 5.808 Å
α = 90.00°, β = 90.00°, γ = 90.00°
Element x y z (fractional)
La: 0.000 0.000 0.000
Te: 0.000 0.000 0.500
Mo: 0.500 0.500 0.000
P: 0.000 0.500 0.500
P: 0.500 0.000 0.500

Its volume is 147.2 Å³ per cell. Its size of the total moment is 0.2 μB per cell. For the total energy, the calculation gives -4.44 eV per atom. The distance to the lowest polymorph of the same formula is 1768.8 meV per atom. For the formation energy (no corrections), the calculation gives 1.5006 eV/atom.

[3]
A relaxed LaTeMoP2 crystal. Source: Alexandria via LeMat-Bulk, functional PBE.

a = 4.658 Å, b = 4.658 Å, c = 5.862 Å
α = 90.00°, β = 90.00°, γ = 90.00°
Element x y z (fractional)
La: 0.000 0.000 0.000
Te: 0.500 0.500 0.000
Mo: 0.000 0.000 0.500
P: 0.000 0.500 0.500
P: 0.500 0.000 0.500

Its volume is 127.2 Å³ per cell. Its size of the total moment is 0.0 μB per cell. For the total energy, the calculation gives -6.21 eV per atom. The distance to the lowest polymorph of the same formula is 0.0 meV per atom. For the formation energy (no corrections), the calculation gives -0.2682 eV/atom.

[4]
A relaxed LaPa2Mo crystal. Source: Alexandria via LeMat-Bulk, functional PBE.

a = 3.440 Å, b = 3.440 Å, c = 8.351 Å
α = 90.00°, β = 90.00°, γ = 90.00°
Element x y z (fractional)
La: 0.000 0.000 0.000
Pa: 0.500 0.500 0.292
Pa: 0.500 0.500 0.708
Mo: 0.000 0.000 0.500

For the formation energy, the calculation gives 0.775 eV per formula unit. Its volume is 98.8 Å³ per cell. Its size of the total moment is 0.0 μB per cell. For the total energy, the calculation gives -8.49 eV per atom. The distance to the lowest polymorph of the same formula is 0.0 meV per atom.

[5]
A relaxed LaPa2Mo crystal. Source: Alexandria via LeMat-Bulk, functional PBE.

a = 11.119 Å, b = 11.119 Å, c = 11.119 Å
α = 16.70°, β = 16.70°, γ = 16.70°
Element x y z (fractional)
La: 0.000 0.000 0.000
Pa: 0.098 0.098 0.098
Pa: 0.902 0.902 0.902
Mo: 0.500 0.500 0.500

For the formation energy, the calculation gives 1.562 eV per formula unit. Its volume is 99.0 Å³ per cell. Its size of the total moment is 0.0 μB per cell. For the total energy, the calculation gives -8.30 eV per atom. The distance to the lowest polymorph of the same formula is 196.7 meV per atom.

[6]
A relaxed LaMo2Pb crystal. Source: Alexandria via LeMat-Bulk, functional PBE.

a = 3.139 Å, b = 3.139 Å, c = 9.950 Å
α = 90.00°, β = 90.00°, γ = 113.46°
Element x y z (fractional)
La: 0.000 0.000 0.000
Mo: 0.000 0.000 0.438
Mo: 0.500 0.500 0.254
Pb: 0.500 0.500 0.688

For the formation energy, the calculation gives 1.578 eV per formula unit. Its volume is 89.9 Å³ per cell. Its size of the total moment is 0.0 μB per cell. For the total energy, the calculation gives -7.18 eV per atom.

[7]
A relaxed LaMo2Pb crystal. Source: Alexandria via LeMat-Bulk, functional PBE.

a = 5.824 Å, b = 5.824 Å, c = 5.150 Å
α = 110.81°, β = 110.81°, γ = 34.70°
Element x y z (fractional)
La: 0.000 0.000 0.000
Mo: 0.221 0.221 0.747
Mo: 0.552 0.552 0.532
Pb: 0.784 0.784 0.315

For the formation energy, the calculation gives 1.596 eV per formula unit. Its volume is 92.3 Å³ per cell. Its size of the total moment is 0.0 μB per cell. For the total energy, the calculation gives -7.18 eV per atom.

[8]
A relaxed LaMo2Pb crystal. Source: Alexandria via LeMat-Bulk, functional PBE.

a = 3.728 Å, b = 3.728 Å, c = 6.739 Å
α = 90.00°, β = 90.00°, γ = 90.00°
Element x y z (fractional)
La: 0.000 0.000 0.000
Mo: 0.500 0.500 0.319
Mo: 0.500 0.500 0.681
Pb: 0.000 0.000 0.500

For the formation energy, the calculation gives 2.247 eV per formula unit. Its volume is 93.6 Å³ per cell. Its size of the total moment is 0.0 μB per cell. For the total energy, the calculation gives -7.01 eV per atom.

[9]
A relaxed LaMo2Pb crystal. Source: Alexandria via LeMat-Bulk, functional PBE.

a = 5.594 Å, b = 5.594 Å, c = 5.594 Å
α = 142.79°, β = 124.01°, γ = 69.16°
Element x y z (fractional)
La: 0.000 0.000 0.000
Mo: 0.247 0.747 0.500
Mo: 0.753 0.253 0.500
Pb: 0.500 0.500 0.000

For the formation energy, the calculation gives 3.090 eV per formula unit. Its volume is 86.3 Å³ per cell. Its size of the total moment is 0.0 μB per cell. For the total energy, the calculation gives -6.80 eV per atom.

[10]
A relaxed LaMo2Pb crystal. Source: Alexandria via LeMat-Bulk, functional PBE.

a = 6.409 Å, b = 6.409 Å, c = 6.409 Å
α = 102.76°, β = 102.76°, γ = 123.95°
Element x y z (fractional)
La: 0.000 0.000 0.000
La: 0.750 0.250 0.500
Mo: 0.156 0.625 0.031
Mo: 0.375 0.406 0.531
Mo: 0.594 0.125 0.969
Mo: 0.875 0.844 0.469
Pb: 0.250 0.750 0.500
Pb: 0.500 0.500 0.000

For the formation energy, the calculation gives 4.681 eV per formula unit. Its volume is 192.8 Å³ per cell. Its size of the total moment is 0.0 μB per cell. For the total energy, the calculation gives -6.40 eV per atom.

[11]
A relaxed LaMo2Pb crystal. Source: Alexandria via LeMat-Bulk, functional PBE.

a = 5.374 Å, b = 5.374 Å, c = 5.729 Å
α = 105.74°, β = 105.74°, γ = 38.61°
Element x y z (fractional)
La: 0.000 0.000 0.000
Mo: 0.246 0.246 0.648
Mo: 0.754 0.754 0.352
Pb: 0.500 0.500 0.500

For the formation energy, the calculation gives 1.715 eV per formula unit. Its volume is 98.9 Å³ per cell. Its size of the total moment is 0.0 μB per cell. For the total energy, the calculation gives -7.15 eV per atom.

[12]
A relaxed LaMo2Pb crystal. Source: Alexandria via LeMat-Bulk, functional PBE.

a = 2.982 Å, b = 2.982 Å, c = 9.860 Å
α = 90.00°, β = 90.00°, γ = 90.00°
Element x y z (fractional)
La: 0.000 0.000 0.000
Mo: 0.500 0.500 0.266
Mo: 0.500 0.500 0.734
Pb: 0.000 0.000 0.500

For the formation energy, the calculation gives 3.705 eV per formula unit. Its volume is 87.7 Å³ per cell. Its size of the total moment is 0.0 μB per cell. For the total energy, the calculation gives -6.65 eV per atom.

[13]
A relaxed LaMo2Pb crystal. Source: Alexandria via LeMat-Bulk, functional PBE.

a = 3.312 Å, b = 3.312 Å, c = 8.223 Å
α = 90.00°, β = 90.00°, γ = 90.00°
Element x y z (fractional)
La: 0.000 0.000 0.000
Mo: 0.000 0.000 0.422
Mo: 0.500 0.500 0.269
Pb: 0.500 0.500 0.669

For the formation energy, the calculation gives 0.523 eV per formula unit. Its volume is 90.2 Å³ per cell. Its size of the total moment is 0.0 μB per cell. For the total energy, the calculation gives -7.44 eV per atom.

[14]
A relaxed LaMo2Pb crystal. Source: Alexandria via LeMat-Bulk, functional PBE.

a = 4.974 Å, b = 4.974 Å, c = 4.974 Å
α = 119.81°, β = 119.81°, γ = 90.32°
Element x y z (fractional)
La: 0.000 0.000 0.000
Mo: 0.500 0.500 0.000
Mo: 0.750 0.250 0.500
Pb: 0.250 0.750 0.500

For the formation energy, the calculation gives 2.416 eV per formula unit. Its volume is 87.3 Å³ per cell. Its size of the total moment is 0.0 μB per cell. For the total energy, the calculation gives -6.97 eV per atom.